[1]
Here is a relaxed LiSnRh crystal from Alexandria via LeMat-Bulk. Energies are from PBE-GGA.

* calculated formation energy: -0.4461 eV per atom
* DOS at the Fermi energy: 0.813 states/eV per atom

The structure in CIF format:
```
data_LiSnRh
_chemical_formula_sum 'Li1 Sn1 Rh1'
_cell_length_a 3.336
_cell_length_b 3.336
_cell_length_c 4.894
_cell_angle_alpha 109.93
_cell_angle_beta 109.93
_cell_angle_gamma 90.00
_symmetry_space_group_name_H-M 'P 1'
_symmetry_Int_Tables_number 1
loop_
_symmetry_equiv_pos_as_xyz
'x,y,z'
loop_
_atom_site_label
_atom_site_fract_x
_atom_site_fract_y
_atom_site_fract_z
_atom_site_occupancy
Sn1 0.947 0.947 0.894 1
Li1 0.625 0.625 0.249 1
Rh1 0.278 0.278 0.556 1
```

***

[2]
Here is a relaxed LiSn3Rh5 crystal from Alexandria via LeMat-Bulk. Energies are from PBE-GGA.

* calculated formation energy: -0.4181 eV per atom
* DOS at the Fermi energy: 0.736 states/eV per atom

The structure in CIF format:
```
data_LiSn3Rh5
_chemical_formula_sum 'Li2 Sn6 Rh10'
_cell_length_a 5.544
_cell_length_b 7.802
_cell_length_c 7.802
_cell_angle_alpha 120.00
_cell_angle_beta 90.00
_cell_angle_gamma 90.00
_symmetry_space_group_name_H-M 'P 1'
_symmetry_Int_Tables_number 1
loop_
_symmetry_equiv_pos_as_xyz
'x,y,z'
loop_
_atom_site_label
_atom_site_fract_x
_atom_site_fract_y
_atom_site_fract_z
_atom_site_occupancy
Rh1 0.250 0.000 0.698 1
Rh2 0.250 0.302 0.302 1
Rh3 0.750 0.698 0.698 1
Rh4 0.500 0.333 0.667 1
Rh5 0.500 0.667 0.333 1
Rh6 0.250 0.698 0.000 1
Rh7 0.000 0.667 0.333 1
Rh8 0.000 0.333 0.667 1
Rh9 0.750 0.302 0.000 1
Rh10 0.750 0.000 0.302 1
Sn1 0.250 0.000 0.363 1
Sn2 0.750 0.637 0.000 1
Sn3 0.250 0.637 0.637 1
Sn4 0.750 0.000 0.637 1
Sn5 0.750 0.363 0.363 1
Sn6 0.250 0.363 0.000 1
Li1 0.500 0.000 0.000 1
Li2 0.000 0.000 0.000 1
```

***

[3]
Here is a relaxed LiSn5Rh3 crystal from Alexandria via LeMat-Bulk. Energies are from PBE-GGA.

* energy above the most stable polymorph in this dataset: 231 meV/atom
* calculated formation energy: -0.2518 eV per atom
* DOS at the Fermi energy: 0.392 states/eV per atom

The structure in CIF format:
```
data_LiSn5Rh3
_chemical_formula_sum 'Li2 Sn10 Rh6'
_cell_length_a 7.436
_cell_length_b 7.436
_cell_length_c 9.814
_cell_angle_alpha 60.57
_cell_angle_beta 60.57
_cell_angle_gamma 78.22
_symmetry_space_group_name_H-M 'P 1'
_symmetry_Int_Tables_number 1
loop_
_symmetry_equiv_pos_as_xyz
'x,y,z'
loop_
_atom_site_label
_atom_site_fract_x
_atom_site_fract_y
_atom_site_fract_z
_atom_site_occupancy
Sn1 0.593 0.050 0.613 1
Sn2 0.433 0.433 0.349 1
Sn3 0.567 0.567 0.651 1
Sn4 0.272 0.728 0.000 1
Sn5 0.950 0.407 0.387 1
Sn6 0.217 0.217 0.016 1
Sn7 0.407 0.950 0.387 1
Sn8 0.728 0.272 0.000 1
Sn9 0.050 0.593 0.613 1
Sn10 0.783 0.783 0.984 1
Rh1 0.669 0.669 0.827 1
Rh2 0.331 0.331 0.173 1
Rh3 0.674 0.674 0.315 1
Rh4 0.326 0.326 0.685 1
Rh5 0.000 0.000 0.000 1
Rh6 0.000 0.000 0.500 1
Li1 0.103 0.103 0.671 1
Li2 0.897 0.897 0.329 1
```

***

[4]
Here is a relaxed LiSn4Rh crystal from Alexandria via LeMat-Bulk. Energies are from PBE-GGA.

* calculated formation energy: -0.3578 eV per atom
* DOS at the Fermi energy: 0.360 states/eV per atom

The structure in CIF format:
```
data_LiSn4Rh
_chemical_formula_sum 'Li2 Sn8 Rh2'
_cell_length_a 7.453
_cell_length_b 7.453
_cell_length_c 7.453
_cell_angle_alpha 126.87
_cell_angle_beta 126.87
_cell_angle_gamma 78.47
_symmetry_space_group_name_H-M 'P 1'
_symmetry_Int_Tables_number 1
loop_
_symmetry_equiv_pos_as_xyz
'x,y,z'
loop_
_atom_site_label
_atom_site_fract_x
_atom_site_fract_y
_atom_site_fract_z
_atom_site_occupancy
Li1 0.500 0.500 0.000 1
Li2 0.000 0.000 0.000 1
Sn1 0.477 0.295 0.500 1
Sn2 0.295 0.795 0.819 1
Sn3 0.795 0.977 0.500 1
Sn4 0.523 0.705 0.500 1
Sn5 0.705 0.205 0.181 1
Sn6 0.977 0.477 0.181 1
Sn7 0.023 0.523 0.819 1
Sn8 0.205 0.023 0.500 1
Rh1 0.250 0.250 0.000 1
Rh2 0.750 0.750 0.000 1
```

***

[5]
Here is a relaxed Li2SnRh2 crystal from Alexandria via LeMat-Bulk. Energies are from PBE-GGA.

* energy above the most stable polymorph in this dataset: 6 meV/atom
* calculated formation energy: -0.2710 eV per atom
* DOS at the Fermi energy: 0.188 states/eV per atom

The structure in CIF format:
```
data_Li2SnRh2
_chemical_formula_sum 'Li4 Sn2 Rh4'
_cell_length_a 6.658
_cell_length_b 6.658
_cell_length_c 3.658
_cell_angle_alpha 90.00
_cell_angle_beta 90.00
_cell_angle_gamma 90.00
_symmetry_space_group_name_H-M 'P 1'
_symmetry_Int_Tables_number 1
loop_
_symmetry_equiv_pos_as_xyz
'x,y,z'
loop_
_atom_site_label
_atom_site_fract_x
_atom_site_fract_y
_atom_site_fract_z
_atom_site_occupancy
Li1 0.842 0.342 0.500 1
Li2 0.342 0.158 0.500 1
Li3 0.658 0.842 0.500 1
Li4 0.158 0.658 0.500 1
Rh1 0.639 0.139 0.000 1
Rh2 0.139 0.361 0.000 1
Rh3 0.861 0.639 0.000 1
Rh4 0.361 0.861 0.000 1
Sn1 0.500 0.500 0.000 1
Sn2 0.000 0.000 0.000 1
```

***

[6]
Here is a relaxed LiSnRh2 crystal from Alexandria via LeMat-Bulk. Energies are from PBE-GGA.

* calculated formation energy: 0.0047 eV per atom
* DOS at the Fermi energy: 0.785 states/eV per atom

The structure in CIF format:
```
data_LiSnRh2
_chemical_formula_sum 'Li2 Sn2 Rh4'
_cell_length_a 6.789
_cell_length_b 6.789
_cell_length_c 5.557
_cell_angle_alpha 52.35
_cell_angle_beta 52.35
_cell_angle_gamma 90.00
_symmetry_space_group_name_H-M 'P 1'
_symmetry_Int_Tables_number 1
loop_
_symmetry_equiv_pos_as_xyz
'x,y,z'
loop_
_atom_site_label
_atom_site_fract_x
_atom_site_fract_y
_atom_site_fract_z
_atom_site_occupancy
Li1 0.250 0.750 0.500 1
Li2 0.500 0.500 0.000 1
Sn1 0.750 0.250 0.500 1
Sn2 0.000 0.000 0.000 1
Rh1 0.875 0.853 0.750 1
Rh2 0.603 0.125 0.250 1
Rh3 0.375 0.397 0.750 1
Rh4 0.147 0.625 0.250 1
```

***

[7]
Here is a relaxed LiSnRh crystal from Alexandria via LeMat-Bulk. Energies are from PBE-GGA.

* calculated formation energy: -0.3356 eV per atom
* DOS at the Fermi energy: 0.440 states/eV per atom

The structure in CIF format:
```
data_LiSnRh
_chemical_formula_sum 'Li1 Sn1 Rh1'
_cell_length_a 4.329
_cell_length_b 4.329
_cell_length_c 4.329
_cell_angle_alpha 60.00
_cell_angle_beta 60.00
_cell_angle_gamma 60.00
_symmetry_space_group_name_H-M 'P 1'
_symmetry_Int_Tables_number 1
loop_
_symmetry_equiv_pos_as_xyz
'x,y,z'
loop_
_atom_site_label
_atom_site_fract_x
_atom_site_fract_y
_atom_site_fract_z
_atom_site_occupancy
Li1 0.500 0.500 0.500 1
Rh1 0.250 0.250 0.250 1
Sn1 0.000 0.000 0.000 1
```

***

[8]
Here is a relaxed Li6Sn12Rh crystal from Alexandria via LeMat-Bulk. Energies are from PBE-GGA.

* calculated formation energy: -0.1394 eV per atom
* DOS at the Fermi energy: 0.515 states/eV per atom

The structure in CIF format:
```
data_Li6Sn12Rh
_chemical_formula_sum 'Li6 Sn12 Rh1'
_cell_length_a 7.787
_cell_length_b 7.787
_cell_length_c 7.787
_cell_angle_alpha 97.72
_cell_angle_beta 97.72
_cell_angle_gamma 97.72
_symmetry_space_group_name_H-M 'P 1'
_symmetry_Int_Tables_number 1
loop_
_symmetry_equiv_pos_as_xyz
'x,y,z'
loop_
_atom_site_label
_atom_site_fract_x
_atom_site_fract_y
_atom_site_fract_z
_atom_site_occupancy
Sn1 0.026 0.889 0.323 1
Sn2 0.484 0.632 0.163 1
Sn3 0.974 0.111 0.677 1
Sn4 0.111 0.677 0.974 1
Sn5 0.368 0.837 0.516 1
Sn6 0.516 0.368 0.837 1
Sn7 0.837 0.516 0.368 1
Sn8 0.163 0.484 0.632 1
Sn9 0.677 0.974 0.111 1
Sn10 0.323 0.026 0.889 1
Sn11 0.889 0.323 0.026 1
Sn12 0.632 0.163 0.484 1
Li1 0.184 0.489 0.276 1
Li2 0.489 0.276 0.184 1
Li3 0.276 0.184 0.489 1
Li4 0.724 0.816 0.511 1
Li5 0.511 0.724 0.816 1
Li6 0.816 0.511 0.724 1
Rh1 0.000 0.000 0.000 1
```